1.
Density functional theory data (PBE) for crystalline CdSnBr at its relaxed geometry.

Structure (POSCAR):
```
CdSnBr
1.0
3.772 0.000 0.000
0.001 4.651 0.000
1.845 1.297 5.674
Cd Sn Br
1 1 1
Direct
0.000 0.000 0.000 Cd
0.531 0.514 0.936 Sn
0.759 0.560 0.464 Br
```

Computed properties:
- Total moment: 0.000 μB/atom
- Relative energy among the computed polymorphs: 44 meV per atom
- Energy: -2.441 eV/atom
- DOS at the Fermi energy: 0.246 states/eV/atom


2.
Density functional theory data (PBE) for crystalline NbAlV3 at its relaxed geometry.

Structure (POSCAR):
```
NbAlV3
1.0
4.997 -1.581 0.000
4.997 1.581 0.000
-0.270 0.000 9.453
Nb Al V
2 2 6
Direct
0.044 0.044 0.342 Nb
0.956 0.956 0.658 Nb
0.242 0.242 0.755 Al
0.758 0.758 0.245 Al
0.150 0.150 0.035 V
0.342 0.342 0.465 V
0.453 0.453 0.137 V
0.547 0.547 0.863 V
0.658 0.658 0.535 V
0.850 0.850 0.965 V
```

Computed properties:
- Total moment: 0.000 μB/atom
- Relative energy among the computed polymorphs: 0 meV per atom
- Formation energy from the elements: -0.065 eV per atom
- Energy: -8.299 eV/atom
- DOS at the Fermi energy: 1.359 states/eV/atom


3.
Density functional theory data (PBE) for crystalline Be3Hg4 at its relaxed geometry.

Structure (POSCAR):
```
Be3Hg4
1.0
3.581 0.000 0.000
0.000 3.581 0.000
0.000 0.000 18.900
Be Hg
6 8
Direct
0.000 0.000 0.000 Be
0.000 0.000 0.290 Be
0.000 0.000 0.710 Be
0.500 0.500 0.210 Be
0.500 0.500 0.500 Be
0.500 0.500 0.790 Be
0.000 0.000 0.165 Hg
0.000 0.000 0.427 Hg
0.000 0.000 0.573 Hg
0.000 0.000 0.835 Hg
0.500 0.500 0.073 Hg
0.500 0.500 0.335 Hg
0.500 0.500 0.665 Hg
0.500 0.500 0.927 Hg
```

Computed properties:
- Total moment: 0.000 μB/atom
- Relative energy among the computed polymorphs: 69 meV per atom
- Formation energy from the elements: 0.517 eV per atom
- Energy: -1.252 eV/atom
- DOS at the Fermi energy: 0.345 states/eV/atom